# CeCu2Ni9, optimized geometry, DFT PBE
data_CeCu2Ni9
_chemical_formula_sum 'Ce2 Cu4 Ni18'
_cell_length_a 8.0253
_cell_length_b 8.0253
_cell_length_c 4.7059
_cell_angle_alpha 90.00
_cell_angle_beta 90.00
_cell_angle_gamma 90.00
_space_group_name_H-M_alt 'P 4/m b m'
_space_group_IT_number 127
_space_group_name_Hall '-P 4 2ab'
loop_
_atom_site_label
_atom_site_type_symbol
_atom_site_fract_x
_atom_site_fract_y
_atom_site_fract_z
_atom_site_occupancy
Ce1 Ce 0.0000 0.0000 0.0000 1
Cu1 Cu 0.1137 0.3863 0.0000 1
Ni1 Ni 0.0000 0.5000 0.5000 1
Ni2 Ni 0.0643 0.2101 0.5000 1
Ni3 Ni 0.1790 0.6790 0.2404 1
# VASP energy ... -5.639 eV per atom
# Volume ... 151.5 Å³/f.u.
# E_form ... -0.13 eV per atom
# Fermi-level density of states ... 17.0 states/eV/f.u.